Entry 1:
Below is ZnCrGeRh after structural relaxation, with properties calculated at the PBE level.

The calculation puts the formation energy at -0.199 eV per atom. As for the total DFT energy (no corrections): -5.92 eV per atom. As for the magnetic moment: 0.818 μB/atom.

The space group is F-43m (No. 216) and the conventional cell measures 6.094, 6.094 and 6.094 Å, with angles of 90.00, 90.00 and 90.00 degrees. The asymmetric unit holds Zn at (0.000, 0.000, 0.000), Cr at (0.250, 0.250, 0.250), Ge at (0.000, 0.000, 0.500) and Rh at (0.250, 0.250, 0.750).

---

Entry 2:
Below is Cr2GeRu after structural relaxation, with properties calculated at the PBE level.

The calculation puts the formation energy at 0.603 eV per atom. As for the total DFT energy (no corrections): -7.68 eV per atom. As for the magnetic moment: 0.000 μB/atom.

The space group is I-42d (No. 122) and the conventional cell measures 6.730, 6.730 and 5.036 Å, with angles of 90.00, 90.00 and 90.00 degrees. The asymmetric unit holds Cr at (0.236, 0.750, 0.125), Ge at (0.000, 0.000, 0.500) and Ru at (0.000, 0.000, 0.000).

---

What did the second record say?
Below is Cr2GeRu after structural relaxation, with properties calculated at the PBE level.

The calculation puts the formation energy at 0.603 eV per atom. As for the total DFT energy (no corrections): -7.68 eV per atom. As for the magnetic moment: 0.000 μB/atom.

The space group is I-42d (No. 122) and the conventional cell measures 6.730, 6.730 and 5.036 Å, with angles of 90.00, 90.00 and 90.00 degrees. The asymmetric unit holds Cr at (0.236, 0.750, 0.125), Ge at (0.000, 0.000, 0.500) and Ru at (0.000, 0.000, 0.000).